DFT (GGA-PBE) results for an optimized crystal structure of CdOs4Pb.

For the formation energy, the calculation gives 0.90 eV/atom. Its raw total energy is -7.356 eV/atom. Its volume is 17.9 Å³/atom.

Cell and atoms, written as CIF:
```
data_CdOs4Pb
_symmetry_space_group_name_H-M 'F -4 3 m'
_symmetry_Int_Tables_number 216
_symmetry_space_group_name_Hall 'F -4 2 3'
_cell_length_a 7.549
_cell_length_b 7.549
_cell_length_c 7.549
_cell_angle_alpha 90.00
_cell_angle_beta 90.00
_cell_angle_gamma 90.00
loop_
_atom_site_label
_atom_site_fract_x
_atom_site_fract_y
_atom_site_fract_z
_atom_site_occupancy
Cd1 0.000 0.000 0.000 1
Os1 0.125 0.125 0.625 1
Pb1 0.250 0.250 0.250 1
```

DFT (GGA-PBE) results for an optimized crystal structure of CdOs2Pb.

For the formation energy, the calculation gives 1.04 eV/atom. Its raw total energy is -5.726 eV/atom. Its volume is 18.2 Å³/atom. As for the polymorph energy (0 for the lowest one): 2.509 eV per formula unit.

Cell and atoms, written as CIF:
```
data_CdOs2Pb
_symmetry_space_group_name_H-M 'C 1 2/m 1'
_symmetry_Int_Tables_number 12
_symmetry_space_group_name_Hall '-C 2y'
_cell_length_a 5.917
_cell_length_b 9.388
_cell_length_c 2.983
_cell_angle_alpha 90.00
_cell_angle_beta 118.39
_cell_angle_gamma 90.00
loop_
_atom_site_label
_atom_site_fract_x
_atom_site_fract_y
_atom_site_fract_z
_atom_site_occupancy
Cd1 0.000 0.000 0.000 1
Os1 0.250 0.250 0.500 1
Pb1 0.000 0.500 0.000 1
```

DFT (GGA-PBE) results for an optimized crystal structure of Cd2OsPb.

For the formation energy, the calculation gives 0.63 eV/atom. Its raw total energy is -3.565 eV/atom. Its volume is 21.7 Å³/atom.

Cell and atoms, written as CIF:
```
data_Cd2OsPb
_symmetry_space_group_name_H-M 'P m m m'
_symmetry_Int_Tables_number 47
_symmetry_space_group_name_Hall '-P 2 2'
_cell_length_a 3.006
_cell_length_b 4.080
_cell_length_c 7.071
_cell_angle_alpha 90.00
_cell_angle_beta 90.00
_cell_angle_gamma 90.00
loop_
_atom_site_label
_atom_site_fract_x
_atom_site_fract_y
_atom_site_fract_z
_atom_site_occupancy
Cd1 0.000 0.000 0.201 1
Os1 0.500 0.500 0.000 1
Pb1 0.500 0.500 0.500 1
```

DFT (GGA-PBE) results for an optimized crystal structure of ScCd2OsPb.

For the formation energy, the calculation gives 1.34 eV/atom. Its raw total energy is -3.285 eV/atom. Its volume is 28.9 Å³/atom.

Cell and atoms, written as CIF:
```
data_ScCd2OsPb
_symmetry_space_group_name_H-M 'P 4/m m m'
_symmetry_Int_Tables_number 123
_symmetry_space_group_name_Hall '-P 4 2'
_cell_length_a 5.315
_cell_length_b 5.315
_cell_length_c 5.107
_cell_angle_alpha 90.00
_cell_angle_beta 90.00
_cell_angle_gamma 90.00
loop_
_atom_site_label
_atom_site_fract_x
_atom_site_fract_y
_atom_site_fract_z
_atom_site_occupancy
Sc1 0.000 0.000 0.000 1
Cd1 0.000 0.500 0.500 1
Os1 0.500 0.500 0.000 1
Pb1 0.500 0.500 0.500 1
```

DFT (GGA-PBE) results for an optimized crystal structure of TaCd2OsPb.

For the formation energy, the calculation gives 1.61 eV/atom. Its raw total energy is -4.119 eV/atom. Its volume is 26.8 Å³/atom.

Cell and atoms, written as CIF:
```
data_TaCd2OsPb
_symmetry_space_group_name_H-M 'P 4/m m m'
_symmetry_Int_Tables_number 123
_symmetry_space_group_name_Hall '-P 4 2'
_cell_length_a 5.128
_cell_length_b 5.128
_cell_length_c 5.087
_cell_angle_alpha 90.00
_cell_angle_beta 90.00
_cell_angle_gamma 90.00
loop_
_atom_site_label
_atom_site_fract_x
_atom_site_fract_y
_atom_site_fract_z
_atom_site_occupancy
Ta1 0.000 0.000 0.000 1
Cd1 0.000 0.500 0.500 1
Os1 0.500 0.500 0.500 1
Pb1 0.500 0.500 0.000 1
```

DFT (GGA-PBE) results for an optimized crystal structure of CdOs2Pd.

For the formation energy, the calculation gives 1.17 eV/atom. Its raw total energy is -5.970 eV/atom. Its volume is 18.3 Å³/atom.

Cell and atoms, written as CIF:
```
data_CdOs2Pd
_symmetry_space_group_name_H-M 'I -4 2 d'
_symmetry_Int_Tables_number 122
_symmetry_space_group_name_Hall 'I -4 2bw'
_cell_length_a 7.665
_cell_length_b 7.665
_cell_length_c 4.979
_cell_angle_alpha 90.00
_cell_angle_beta 90.00
_cell_angle_gamma 90.00
loop_
_atom_site_label
_atom_site_fract_x
_atom_site_fract_y
_atom_site_fract_z
_atom_site_occupancy
Cd1 0.000 0.000 0.000 1
Os1 0.201 0.250 0.625 1
Pd1 0.000 0.000 0.500 1
```

DFT (GGA-PBE) results for an optimized crystal structure of Cd2OsPd.

For the formation energy, the calculation gives 0.75 eV/atom. Its raw total energy is -3.816 eV/atom. Its volume is 19.1 Å³/atom.

Cell and atoms, written as CIF:
```
data_Cd2OsPd
_symmetry_space_group_name_H-M 'I -4 2 d'
_symmetry_Int_Tables_number 122
_symmetry_space_group_name_Hall 'I -4 2bw'
_cell_length_a 3.974
_cell_length_b 3.974
_cell_length_c 19.367
_cell_angle_alpha 90.00
_cell_angle_beta 90.00
_cell_angle_gamma 90.00
loop_
_atom_site_label
_atom_site_fract_x
_atom_site_fract_y
_atom_site_fract_z
_atom_site_occupancy
Cd1 0.248 0.250 0.125 1
Os1 0.000 0.000 0.000 1
Pd1 0.000 0.000 0.500 1
```

DFT (GGA-PBE) results for an optimized crystal structure of CdOsPd3.

For the formation energy, the calculation gives 1.09 eV/atom. Its raw total energy is -4.454 eV/atom. Its volume is 22.6 Å³/atom. As for the polymorph energy (0 for the lowest one): 0.000 eV per formula unit.

Cell and atoms, written as CIF:
```
data_CdOsPd3
_symmetry_space_group_name_H-M 'P m -3 m'
_symmetry_Int_Tables_number 221
_symmetry_space_group_name_Hall '-P 4 2 3'
_cell_length_a 4.836
_cell_length_b 4.836
_cell_length_c 4.836
_cell_angle_alpha 90.00
_cell_angle_beta 90.00
_cell_angle_gamma 90.00
loop_
_atom_site_label
_atom_site_fract_x
_atom_site_fract_y
_atom_site_fract_z
_atom_site_occupancy
Cd1 0.000 0.000 0.000 1
Os1 0.500 0.500 0.500 1
Pd1 0.000 0.500 0.500 1
```

DFT (GGA-PBE) results for an optimized crystal structure of CdOs3Pd.

For the formation energy, the calculation gives 2.54 eV/atom. Its raw total energy is -5.419 eV/atom. Its volume is 21.8 Å³/atom. As for the polymorph energy (0 for the lowest one): 0.000 eV per formula unit.

Cell and atoms, written as CIF:
```
data_CdOs3Pd
_symmetry_space_group_name_H-M 'P m -3 m'
_symmetry_Int_Tables_number 221
_symmetry_space_group_name_Hall '-P 4 2 3'
_cell_length_a 4.780
_cell_length_b 4.780
_cell_length_c 4.780
_cell_angle_alpha 90.00
_cell_angle_beta 90.00
_cell_angle_gamma 90.00
loop_
_atom_site_label
_atom_site_fract_x
_atom_site_fract_y
_atom_site_fract_z
_atom_site_occupancy
Cd1 0.000 0.000 0.000 1
Os1 0.000 0.500 0.500 1
Pd1 0.500 0.500 0.500 1
```

DFT (GGA-PBE) results for an optimized crystal structure of Cd2ReOsPd.

For the formation energy, the calculation gives 1.39 eV/atom. Its raw total energy is -4.754 eV/atom. Its volume is 24.7 Å³/atom.

Cell and atoms, written as CIF:
```
data_Cd2ReOsPd
_symmetry_space_group_name_H-M 'P 4/m m m'
_symmetry_Int_Tables_number 123
_symmetry_space_group_name_Hall '-P 4 2'
_cell_length_a 5.138
_cell_length_b 5.138
_cell_length_c 4.670
_cell_angle_alpha 90.00
_cell_angle_beta 90.00
_cell_angle_gamma 90.00
loop_
_atom_site_label
_atom_site_fract_x
_atom_site_fract_y
_atom_site_fract_z
_atom_site_occupancy
Cd1 0.000 0.500 0.000 1
Re1 0.000 0.000 0.500 1
Os1 0.000 0.000 0.000 1
Pd1 0.500 0.500 0.500 1
```

DFT (GGA-PBE) results for an optimized crystal structure of CdOsPdRh2.

For the formation energy, the calculation gives 1.08 eV/atom. Its raw total energy is -5.332 eV/atom. Its volume is 21.6 Å³/atom.

Cell and atoms, written as CIF:
```
data_CdOsPdRh2
_symmetry_space_group_name_H-M 'P 4/m m m'
_symmetry_Int_Tables_number 123
_symmetry_space_group_name_Hall '-P 4 2'
_cell_length_a 4.685
_cell_length_b 4.685
_cell_length_c 4.912
_cell_angle_alpha 90.00
_cell_angle_beta 90.00
_cell_angle_gamma 90.00
loop_
_atom_site_label
_atom_site_fract_x
_atom_site_fract_y
_atom_site_fract_z
_atom_site_occupancy
Cd1 0.000 0.000 0.000 1
Os1 0.500 0.500 0.500 1
Pd1 0.500 0.500 0.000 1
Rh1 0.000 0.500 0.500 1
```

DFT (GGA-PBE) results for an optimized crystal structure of TlCdOs2Pd.

For the formation energy, the calculation gives 2.52 eV/atom. Its raw total energy is -3.669 eV/atom. Its volume is 25.8 Å³/atom.

Cell and atoms, written as CIF:
```
data_TlCdOs2Pd
_symmetry_space_group_name_H-M 'P 4/m m m'
_symmetry_Int_Tables_number 123
_symmetry_space_group_name_Hall '-P 4 2'
_cell_length_a 4.964
_cell_length_b 4.964
_cell_length_c 5.228
_cell_angle_alpha 90.00
_cell_angle_beta 90.00
_cell_angle_gamma 90.00
loop_
_atom_site_label
_atom_site_fract_x
_atom_site_fract_y
_atom_site_fract_z
_atom_site_occupancy
Tl1 0.000 0.000 0.000 1
Cd1 0.000 0.000 0.500 1
Os1 0.000 0.500 0.500 1
Pd1 0.500 0.500 0.000 1
```